[1]
The following is a DFT calculation (PBE) of an optimized crystal structure of TbGa2Ni.

As for the total DFT energy (no corrections): -4.69 eV/atom.

Unit cell a=4.0902 b=4.0902 c=15.2457 alpha=90.00 beta=90.00 gamma=120.00
Space group R-3m (No. 166, hexagonal axes)
Inequivalent atoms, fractional coordinates:
Tb: 0.0000 0.0000 0.0000
Ga: 0.0000 0.0000 0.2126
Ni: 0.0000 0.0000 0.5000

***

[2]
The following is a DFT calculation (PBE) of an optimized crystal structure of Tb2Ga2Ni15.

As for the total DFT energy (no corrections): -5.64 eV/atom.

Unit cell a=8.3314 b=8.3314 c=12.2741 alpha=90.00 beta=90.00 gamma=120.00
Space group R-3m (No. 166, hexagonal axes)
Inequivalent atoms, fractional coordinates:
Tb: 0.0000 0.0000 0.1512
Ga: 0.0000 0.0000 0.3968
Ni: 0.0000 0.2977 0.5000
Ni: 0.0000 0.5000 0.0000
Ni: 0.0013 0.5007 0.3458